Entry from the Alexandria database: a geometry-optimized Te2IrSN structure (GGA-PBEsol).

## Properties
As for the crystal system: tetragonal.

Cell: 3.2325 5.1677 5.1677 Å, 90.00 90.00 90.00°
With the nearest neighbours (Å) after each atom.
Atoms (fractional coordinates):
N1 0.5000 0.0000 0.0000  2 S 1.62
Ir1 0.5000 0.5000 0.5000  8 Te 3.05, 2 Ir 3.23
S1 0.0000 0.0000 0.0000  2 N 1.62
Te1 0.0000 0.0000 0.5000  2 S 2.58
Te2 0.0000 0.5000 0.0000  2 S 2.58

---

Entry from the Alexandria database: a geometry-optimized TlIrS2N structure (GGA-PBEsol).

## Properties
The calculation puts the excess energy over the best structure of this formula in the dataset at 0.588 eV per atom. As for the crystal system: tetragonal.

Cell: 3.6897 4.8714 4.8714 Å, 90.00 90.00 90.00°
With the nearest neighbours (Å) after each atom.
Atoms (fractional coordinates):
Tl1 0.5000 0.5000 0.5000  8 S 3.06
N1 0.0000 0.0000 0.0000  2 Ir 1.84
Ir1 0.5000 0.0000 0.0000  2 N 1.84
S1 0.0000 0.0000 0.5000  2 N 2.44
S2 0.0000 0.5000 0.0000  2 N 2.44

---

Entry from the Alexandria database: a geometry-optimized TlIrS2N structure (GGA-PBEsol).

## Properties
The calculation puts the excess energy over the best structure of this formula in the dataset at 0.000 eV per atom. As for the crystal system: tetragonal.

Cell: 3.6599 4.9249 4.9249 Å, 90.00 90.00 90.00°
With the nearest neighbours (Å) after each atom.
Atoms (fractional coordinates):
S1 0.0000 0.5000 0.0000  2 Ir 2.46
S2 0.0000 0.0000 0.5000  2 Ir 2.46
Tl1 0.5000 0.5000 0.5000  8 S 3.07
N1 0.5000 0.0000 0.0000  2 Ir 1.83
Ir1 0.0000 0.0000 0.0000  2 N 1.83

---

no.,formation energy without anion corrections (eV per atom),raw total energy (eV/atom),size of the total moment (μB per cell)
1,0.95,-5.004,0.000
2,0.84,-5.109,0.000
3,0.25,-5.696,0.000